DFT (PBE) results for TbTh2In3 after structural relaxation.

Structure (CIF):
```
data_TbTh2In3
_chemical_formula_sum 'Tb1 Th2 In3'
_symmetry_space_group_name_H-M 'P 4/m m m'
_symmetry_Int_Tables_number 123
_symmetry_space_group_name_Hall '-P 4 2'
_cell_length_a 3.526
_cell_length_b 3.526
_cell_length_c 13.520
_cell_angle_alpha 90.00
_cell_angle_beta 90.00
_cell_angle_gamma 90.00
loop_
_atom_site_label
_atom_site_type_symbol
_atom_site_fract_x
_atom_site_fract_y
_atom_site_fract_z
_atom_site_occupancy
Tb1 Tb 0.000 0.000 0.000 1
Th1 Th 0.000 0.000 0.330 1
In1 In 0.500 0.500 0.159 1
In2 In 0.500 0.500 0.500 1
```

Results
Size of the total moment   0.0 μB per cell
Total energy   -4.96 eV/atom
Formation energy from the elements   -347 meV/atom